First-principles (SCAN) data for Hg2IrBr at its PBEsol-relaxed geometry, as listed in Alexandria.

Unit cell a=3.047 b=3.047 c=8.827 alpha=90.00 beta=90.00 gamma=90.00
Element x y z (fractional)
Ir (0.000, 0.000, 0.500)
Hg (0.000, 0.000, 0.014)
Hg (0.500, 0.500, 0.291)
Br (0.500, 0.500, 0.696)

Results
Symmetry: P4mm
Polymorph energy (0 for the lowest one): 0.127 eV/atom
E_form (uncorrected): 0.709 eV/atom

***

First-principles (SCAN) data for GePb3Au at its PBEsol-relaxed geometry, as listed in Alexandria.

Unit cell a=5.394 b=5.394 c=5.394 alpha=90.00 beta=90.00 gamma=90.00
Element x y z (fractional)
Pb (0.000, 0.500, 0.000)
Pb (0.000, 0.000, 0.500)
Pb (0.500, 0.000, 0.000)
Ge (0.000, 0.000, 0.000)
Au (0.500, 0.500, 0.500)

Results
Symmetry: Pm-3m
Formation energy: 0.604 eV per atom

***

First-principles (SCAN) data for YIn4Te at its PBEsol-relaxed geometry, as listed in Alexandria.

Unit cell a=6.003 b=6.003 c=6.003 alpha=60.00 beta=60.00 gamma=60.00
Element x y z (fractional)
In (0.374, 0.374, 0.374)
In (0.374, 0.374, 0.877)
In (0.877, 0.374, 0.374)
In (0.374, 0.877, 0.374)
Te (0.750, 0.750, 0.750)
Y (0.000, 0.000, 0.000)

Results
Symmetry: F-43m
E_form (uncorrected): -0.177 eV/atom

***

First-principles (SCAN) data for BeAl2Cu at its PBEsol-relaxed geometry, as listed in Alexandria.

Unit cell a=2.573 b=4.209 c=5.421 alpha=112.85 beta=103.73 gamma=90.00
Element x y z (fractional)
Be (0.479, 0.479, 0.958)
Al (0.020, 0.020, 0.040)
Al (0.223, 0.723, 0.446)
Cu (0.778, 0.278, 0.556)

Results
Symmetry: Imm2
Formation energy: 0.021 eV per atom

***

First-principles (SCAN) data for ZnReSi2 at its PBEsol-relaxed geometry, as listed in Alexandria.

Unit cell a=4.248 b=4.248 c=4.248 alpha=60.00 beta=60.00 gamma=60.00
Element x y z (fractional)
Re (0.000, 0.000, 0.000)
Si (0.250, 0.250, 0.250)
Si (0.750, 0.750, 0.750)
Zn (0.500, 0.500, 0.500)

Results
Symmetry: Fm-3m
E_form (uncorrected): 0.348 eV/atom

***

First-principles (SCAN) data for MnCoB2 at its PBEsol-relaxed geometry, as listed in Alexandria.

Unit cell a=2.996 b=3.951 c=5.270 alpha=90.00 beta=90.00 gamma=90.00
Last column: magnetic moment on the atom in μB.
Element x y z (fractional)
B (0.000, 0.637, 0.534)  -0.13
B (0.000, 0.363, 0.034)  -0.13
B (0.500, 0.878, 0.466)  -0.11
B (0.500, 0.122, 0.966)  -0.11
Co (0.000, 0.132, 0.679)  0.23
Co (0.000, 0.868, 0.179)  0.23
Mn (0.500, 0.377, 0.321)  2.22
Mn (0.500, 0.623, 0.821)  2.22

Results
Symmetry: Pmc2_1
Formation energy: -0.382 eV per atom
Polymorph energy (0 for the lowest one): 0.000 eV/atom

***

First-principles (SCAN) data for MgZr2Si at its PBEsol-relaxed geometry, as listed in Alexandria.

Unit cell a=4.227 b=4.239 c=5.147 alpha=114.32 beta=114.24 gamma=90.00
Element x y z (fractional)
Mg (0.500, 0.000, 0.000)
Si (0.000, 0.500, 0.000)
Zr (0.750, 0.750, 0.499)
Zr (0.250, 0.250, 0.501)

Results
Symmetry: Immm
E_form (uncorrected): -0.286 eV/atom

***

First-principles (SCAN) data for KCa2P4H9O17 at its PBEsol-relaxed geometry, as listed in Alexandria.

Unit cell a=7.345 b=10.477 c=18.808 alpha=90.00 beta=90.00 gamma=90.42
Element x y z (fractional)
K (0.144, 0.328, 0.903)
K (0.644, 0.828, 0.597)
K (0.856, 0.672, 0.097)
K (0.356, 0.172, 0.403)
Ca (0.411, 0.069, 0.749)
Ca (0.911, 0.569, 0.751)
Ca (0.589, 0.931, 0.251)
Ca (0.089, 0.431, 0.249)
Ca (0.911, 0.149, 0.727)
Ca (0.411, 0.649, 0.773)
Ca (0.089, 0.851, 0.273)
Ca (0.589, 0.351, 0.227)
P (0.679, 0.498, 0.907)
P (0.179, 0.998, 0.593)
P (0.321, 0.502, 0.093)
P (0.821, 0.002, 0.407)
P (0.669, 0.219, 0.884)
P (0.169, 0.719, 0.616)
P (0.331, 0.781, 0.116)
P (0.831, 0.281, 0.384)
P (0.189, 0.364, 0.725)
P (0.689, 0.864, 0.775)
P (0.811, 0.636, 0.275)
P (0.311, 0.136, 0.225)
P (0.562, 0.369, 0.675)
P (0.062, 0.869, 0.825)
P (0.438, 0.631, 0.325)
P (0.938, 0.131, 0.175)
H (0.804, 0.431, 0.010)
H (0.304, 0.931, 0.490)
H (0.196, 0.569, 0.990)
H (0.696, 0.069, 0.510)
H (0.612, 0.182, 0.001)
H (0.112, 0.682, 0.499)
H (0.388, 0.818, 0.999)
H (0.888, 0.318, 0.501)
H (0.679, 0.472, 0.574)
H (0.179, 0.972, 0.926)
H (0.321, 0.528, 0.426)
H (0.821, 0.028, 0.074)
H (0.014, 0.363, 0.598)
H (0.514, 0.863, 0.902)
H (0.986, 0.637, 0.402)
H (0.486, 0.137, 0.098)
H (0.051, 0.228, 0.568)
H (0.551, 0.728, 0.932)
H (0.949, 0.772, 0.432)
H (0.449, 0.272, 0.068)
H (0.597, 0.232, 0.552)
H (0.097, 0.732, 0.948)
H (0.403, 0.768, 0.448)
H (0.903, 0.268, 0.052)
H (0.489, 0.102, 0.576)
H (0.989, 0.602, 0.924)
H (0.511, 0.898, 0.424)
H (0.011, 0.398, 0.076)
H (0.299, 0.099, 0.994)
H (0.799, 0.599, 0.506)
H (0.701, 0.901, 0.006)
H (0.201, 0.401, 0.494)
H (0.358, 0.102, 0.912)
H (0.858, 0.602, 0.588)
H (0.642, 0.898, 0.088)
H (0.142, 0.398, 0.412)
O (0.864, 0.509, 0.870)
O (0.364, 0.009, 0.630)
O (0.136, 0.491, 0.130)
O (0.636, 0.991, 0.370)
O (0.704, 0.497, 0.989)
O (0.204, 0.997, 0.511)
O (0.296, 0.503, 0.011)
O (0.796, 0.003, 0.489)
O (0.543, 0.599, 0.885)
O (0.043, 0.099, 0.615)
O (0.457, 0.401, 0.115)
O (0.957, 0.901, 0.385)
O (0.586, 0.363, 0.885)
O (0.086, 0.863, 0.615)
O (0.414, 0.637, 0.115)
O (0.914, 0.137, 0.385)
O (0.838, 0.217, 0.840)
O (0.338, 0.717, 0.660)
O (0.162, 0.783, 0.160)
O (0.662, 0.283, 0.340)
O (0.719, 0.188, 0.963)
O (0.219, 0.688, 0.537)
O (0.281, 0.812, 0.037)
O (0.781, 0.312, 0.463)
O (0.507, 0.139, 0.859)
O (0.007, 0.639, 0.641)
O (0.493, 0.861, 0.141)
O (0.993, 0.361, 0.359)
O (0.209, 0.235, 0.761)
O (0.709, 0.735, 0.739)
O (0.791, 0.765, 0.239)
O (0.291, 0.265, 0.261)
O (0.002, 0.370, 0.688)
O (0.502, 0.870, 0.812)
O (0.998, 0.630, 0.312)
O (0.498, 0.130, 0.188)
O (0.210, 0.478, 0.775)
O (0.710, 0.978, 0.725)
O (0.790, 0.522, 0.225)
O (0.290, 0.022, 0.275)
O (0.342, 0.375, 0.664)
O (0.842, 0.875, 0.836)
O (0.658, 0.625, 0.336)
O (0.158, 0.125, 0.164)
O (0.607, 0.237, 0.703)
O (0.107, 0.737, 0.797)
O (0.393, 0.763, 0.297)
O (0.893, 0.263, 0.203)
O (0.630, 0.379, 0.597)
O (0.130, 0.879, 0.903)
O (0.370, 0.621, 0.403)
O (0.870, 0.121, 0.097)
O (0.616, 0.482, 0.721)
O (0.116, 0.982, 0.779)
O (0.384, 0.518, 0.279)
O (0.884, 0.018, 0.221)
O (0.038, 0.320, 0.551)
O (0.538, 0.820, 0.949)
O (0.962, 0.680, 0.449)
O (0.462, 0.180, 0.051)
O (0.558, 0.145, 0.536)
O (0.058, 0.645, 0.964)
O (0.442, 0.855, 0.464)
O (0.942, 0.355, 0.036)
O (0.250, 0.084, 0.945)
O (0.750, 0.584, 0.555)
O (0.750, 0.916, 0.055)
O (0.250, 0.416, 0.445)

Results
Symmetry: P2_1/c

***

First-principles (SCAN) data for CeSnPt at its PBEsol-relaxed geometry, as listed in Alexandria.

Unit cell a=4.132 b=7.443 c=7.443 alpha=120.00 beta=90.00 gamma=90.00
Last column: magnetic moment on the atom in μB.
Element x y z (fractional)
Ce (0.000, 0.588, 0.000)  0.87
Ce (0.000, 0.412, 0.412)  0.87
Ce (0.000, 0.000, 0.588)  0.87
Sn (0.500, 0.000, 0.253)  0.00
Sn (0.500, 0.253, 0.000)  0.00
Sn (0.500, 0.747, 0.747)  0.00
Pt (0.500, 0.667, 0.333)  -0.03
Pt (0.000, 0.000, 0.000)  0.01
Pt (0.500, 0.333, 0.667)  -0.03

Results
Symmetry: P-62m
Formation energy: -1.165 eV per atom

***

First-principles (SCAN) data for TlP2Se at its PBEsol-relaxed geometry, as listed in Alexandria.

Unit cell a=4.750 b=4.750 c=4.750 alpha=60.00 beta=60.00 gamma=60.00
Element x y z (fractional)
P (0.000, 0.000, 0.000)
P (0.250, 0.250, 0.250)
Se (0.500, 0.500, 0.500)
Tl (0.750, 0.750, 0.750)

Results
Symmetry: F-43m
Polymorph energy (0 for the lowest one): 0.751 eV/atom
E_form (uncorrected): 0.811 eV/atom

***

First-principles (SCAN) data for TbAl3 at its PBEsol-relaxed geometry, as listed in Alexandria.

Unit cell a=6.124 b=6.124 c=7.870 alpha=67.10 beta=67.10 gamma=60.00
Element x y z (fractional)
Tb (0.000, 0.000, 0.000)
Tb (0.219, 0.219, 0.344)
Tb (0.781, 0.781, 0.656)
Al (0.000, 0.500, 0.000)
Al (0.500, 0.500, 0.000)
Al (0.500, 0.000, 0.000)
Al (0.295, 0.741, 0.669)
Al (0.741, 0.295, 0.669)
Al (0.295, 0.295, 0.669)
Al (0.705, 0.259, 0.331)
Al (0.705, 0.705, 0.331)
Al (0.259, 0.705, 0.331)

Results
Symmetry: R-3m
Formation energy: -0.459 eV per atom

***

First-principles (SCAN) data for Zr3PRu at its PBEsol-relaxed geometry, as listed in Alexandria.

Unit cell a=4.868 b=4.868 c=4.868 alpha=90.00 beta=90.00 gamma=90.00
Element x y z (fractional)
Ru (0.000, 0.000, 0.000)
Zr (0.000, 0.500, 0.000)
Zr (0.000, 0.000, 0.500)
Zr (0.500, 0.000, 0.000)
P (0.500, 0.500, 0.500)

Results
Symmetry: Pm-3m
Formation energy: 0.219 eV per atom

***

| no. | calculated total energy (eV per atom) |
| --- | --- |
| 1 | -56.014 |
| 2 | -62.513 |
| 3 | -33.283 |
| 4 | -8.743 |
| 5 | -25.813 |
| 6 | -12.987 |
| 7 | -19.382 |
| 8 | -8.348 |
| 9 | -51.391 |
| 10 | -27.497 |
| 11 | -17.963 |
| 12 | -27.245 |